No. 1
Compound: Sc2HgBr
Source: the Alexandria database
Functional: PBE-GGA
Structure: relaxed

```
data_Sc2HgBr
_space_group_name_H-M_alt 'P 1'
_space_group_IT_number 1
_space_group_name_Hall 'P 1'
_cell_length_a 3.396
_cell_length_b 4.337
_cell_length_c 13.391
_cell_angle_alpha 90.00
_cell_angle_beta 90.00
_cell_angle_gamma 90.00
loop_
_atom_site_label
_atom_site_type_symbol
_atom_site_fract_x
_atom_site_fract_y
_atom_site_fract_z
Sc1 Sc 0.000 0.000 0.000
Sc2 Sc 0.000 0.500 0.286
Sc3 Sc 0.500 0.000 0.786
Sc4 Sc 0.500 0.500 0.500
Hg1 Hg 0.000 0.000 0.431
Hg2 Hg 0.500 0.500 0.931
Br1 Br 0.000 0.500 0.676
Br2 Br 0.500 0.000 0.176
```

Summary:
- Space-group type: Imm2 (44)
- Total energy: -4.136 eV/atom
- Polymorph energy (0 for the lowest one): 0.1121 eV/atom
- E_form (uncorrected): -0.476 eV per atom

No. 2
Compound: BaMg3Ga
Source: the Alexandria database
Functional: PBE-GGA
Structure: relaxed

```
data_BaMg3Ga
_space_group_name_H-M_alt 'P 1'
_space_group_IT_number 1
_space_group_name_Hall 'P 1'
_cell_length_a 4.647
_cell_length_b 7.901
_cell_length_c 8.073
_cell_angle_alpha 108.35
_cell_angle_beta 90.00
_cell_angle_gamma 90.00
loop_
_atom_site_label
_atom_site_type_symbol
_atom_site_fract_x
_atom_site_fract_y
_atom_site_fract_z
Ba1 Ba 0.000 0.000 0.000
Ba2 Ba 0.500 0.388 0.342
Mg1 Mg 0.000 0.537 0.692
Mg2 Mg 0.000 0.546 0.064
Mg3 Mg 0.499 0.290 0.810
Mg4 Mg 0.499 0.851 0.649
Mg5 Mg 0.500 0.841 0.277
Mg6 Mg 0.999 0.099 0.535
Ga1 Ga 0.000 0.723 0.435
Ga2 Ga 0.500 0.665 0.907
```

Summary:
- Space-group type: P1 (1)
- Total energy: -2.125 eV/atom
- Formation enthalpy at 0 K: -0.18 eV/atom
- Polymorph energy (0 for the lowest one): 0.0000 eV/atom

No. 3
Compound: TlPb4S6
Source: the Alexandria database
Functional: PBE-GGA
Structure: relaxed

```
data_TlPb4S6
_space_group_name_H-M_alt 'P 1'
_space_group_IT_number 1
_space_group_name_Hall 'P 1'
_cell_length_a 8.266
_cell_length_b 8.266
_cell_length_c 13.199
_cell_angle_alpha 113.08
_cell_angle_beta 113.08
_cell_angle_gamma 56.43
loop_
_atom_site_label
_atom_site_type_symbol
_atom_site_fract_x
_atom_site_fract_y
_atom_site_fract_z
Tl1 Tl 0.205 0.795 0.500
Tl2 Tl 0.795 0.205 0.000
Pb1 Pb 0.090 0.736 0.741
Pb2 Pb 0.165 0.373 0.252
Pb3 Pb 0.354 0.696 0.103
Pb4 Pb 0.373 0.165 0.752
Pb5 Pb 0.688 0.751 0.431
Pb6 Pb 0.696 0.354 0.603
Pb7 Pb 0.736 0.090 0.241
Pb8 Pb 0.751 0.688 0.931
S1 S 0.004 0.710 0.141
S2 S 0.100 0.532 0.467
S3 S 0.132 0.969 0.961
S4 S 0.374 0.814 0.710
S5 S 0.472 0.975 0.273
S6 S 0.499 0.539 0.403
S7 S 0.532 0.100 0.967
S8 S 0.539 0.499 0.903
S9 S 0.710 0.004 0.641
S10 S 0.814 0.374 0.210
S11 S 0.969 0.132 0.461
S12 S 0.975 0.472 0.773
```

Summary:
- Space-group type: Cc (9)
- Total energy: -4.104 eV/atom
- E_form (uncorrected): -0.289 eV per atom

No. 4
Compound: GdDy2Tm
Source: the Alexandria database
Functional: PBE-GGA
Structure: relaxed

```
data_GdDy2Tm
_space_group_name_H-M_alt 'P 1'
_space_group_IT_number 1
_space_group_name_Hall 'P 1'
_cell_length_a 4.994
_cell_length_b 4.994
_cell_length_c 5.011
_cell_angle_alpha 90.00
_cell_angle_beta 90.00
_cell_angle_gamma 90.00
loop_
_atom_site_label
_atom_site_type_symbol
_atom_site_fract_x
_atom_site_fract_y
_atom_site_fract_z
Gd1 Gd 0.000 0.000 0.000
Dy1 Dy 0.000 0.500 0.500
Dy2 Dy 0.500 0.000 0.500
Tm1 Tm 0.500 0.500 0.000
```

Summary:
- Space-group type: P4/mmm (123)
- Total energy: -6.918 eV/atom
- Formation enthalpy at 0 K: 0.02 eV/atom
- Polymorph energy (0 for the lowest one): 0.0000 eV/atom